# 1
First-principles (PBE) data for a relaxed SmYCu2SiGe crystal, as listed in OQMD via LeMat-Bulk.

Cell and atoms, written as POSCAR:
```
SmYCu2SiGe
1.0
4.204 0.000 0.000
-2.102 3.641 0.000
0.000 0.000 7.633
Sm Y Cu Si Ge
1 1 2 1 1
Cartesian
0.000 0.000 0.000 Sm
0.000 0.000 3.786 Y
0.000 2.427 1.959 Cu
2.102 1.214 5.639 Cu
2.102 1.214 1.934 Si
0.000 2.427 5.665 Ge
```

Summary:
Crystal system: trigonal
Energy, eV/atom: -5.450
V, Å³/cell: 116.8

# 2
First-principles (PBE) data for a relaxed BaLiPrSe3 crystal, as listed in OQMD via LeMat-Bulk.

Cell and atoms, written as POSCAR:
```
BaLiPrSe3
1.0
11.207 0.000 0.000
0.000 4.358 0.000
0.000 0.000 14.118
Ba Li Pr Se
4 4 4 12
Cartesian
2.543 1.090 0.023 Ba
3.060 3.269 7.082 Ba
8.146 1.090 7.036 Ba
8.664 3.269 14.095 Ba
2.637 3.269 10.949 Li
2.966 1.090 3.890 Li
8.241 3.269 10.228 Li
8.569 1.090 3.169 Li
0.164 3.269 3.652 Pr
5.439 1.090 10.711 Pr
5.768 3.269 3.407 Pr
11.042 1.090 10.466 Pr
0.563 3.269 12.430 Se
0.994 1.090 5.497 Se
2.678 1.090 9.552 Se
2.925 3.269 2.493 Se
4.610 3.269 12.556 Se
5.041 1.090 5.371 Se
6.166 3.269 8.747 Se
6.597 1.090 1.562 Se
8.281 1.090 11.625 Se
8.528 3.269 4.566 Se
10.213 3.269 8.621 Se
10.644 1.090 1.688 Se
```

Summary:
Crystal system: orthorhombic
Energy relative to the lowest polymorph listed for this composition, meV/atom: 0.0
V, Å³/cell: 689.5

# 3
First-principles (PBE) data for a relaxed LaGa2Fe crystal, as listed in OQMD via LeMat-Bulk.

Cell and atoms, written as POSCAR:
```
LaGa2Fe
1.0
2.138 -8.870 0.000
2.138 8.870 0.000
0.000 0.000 4.302
La Ga Fe
2 4 2
Cartesian
2.138 6.363 0.000 La
2.138 -6.363 0.000 La
0.000 0.000 2.151 Ga
2.138 3.713 2.151 Ga
2.138 0.000 0.000 Ga
2.138 -3.713 2.151 Ga
2.138 1.227 2.151 Fe
2.138 -1.227 2.151 Fe
```

Summary:
Crystal system: orthorhombic
Energy, eV/atom: -5.245
V, Å³/cell: 163.2

# 4
First-principles (PBE) data for a relaxed La2NdAlCl3 crystal, as listed in OQMD via LeMat-Bulk.

Cell and atoms, written as POSCAR:
```
La2NdAlCl3
1.0
5.959 0.000 0.000
0.000 5.959 0.000
0.000 0.000 5.928
La Nd Al Cl
2 1 1 3
Cartesian
0.000 2.980 0.000 La
2.980 0.000 0.000 La
0.000 0.000 2.964 Nd
0.000 0.000 0.000 Al
0.000 2.980 2.964 Cl
2.980 0.000 2.964 Cl
2.980 2.980 0.000 Cl
```

Summary:
Crystal system: tetragonal
Energy, eV/atom: -4.899
V, Å³/cell: 210.5

# 5
First-principles (PBE) data for a relaxed LiTl2Ag crystal, as listed in OQMD via LeMat-Bulk.

Cell and atoms, written as POSCAR:
```
LiTl2Ag
1.0
0.000 3.598 3.598
3.598 0.000 3.598
3.598 3.598 0.000
Li Tl Ag
1 2 1
Cartesian
0.000 0.000 0.000 Li
3.598 3.598 3.598 Tl
5.398 5.398 5.398 Tl
1.799 1.799 1.799 Ag
```

Summary:
Crystal system: cubic
Energy, eV/atom: -2.381
V, Å³/cell: 93.2

# 6
First-principles (PBE) data for a relaxed KLuCdSe3 crystal, as listed in OQMD via LeMat-Bulk.

Cell and atoms, written as POSCAR:
```
KLuCdSe3
1.0
8.818 0.000 0.000
0.000 4.184 0.000
-2.994 0.000 9.568
K Lu Cd Se
2 2 2 6
Cartesian
1.180 1.046 2.287 K
4.644 3.138 7.281 K
0.321 3.138 8.302 Lu
5.503 1.046 1.266 Lu
-1.071 1.046 5.841 Cd
6.895 3.138 3.727 Cd
-1.636 1.046 8.380 Se
0.471 3.138 5.210 Se
3.620 3.138 1.470 Se
2.203 1.046 8.098 Se
5.352 1.046 4.358 Se
7.460 3.138 1.188 Se
```

Summary:
Crystal system: monoclinic
Energy, eV/atom: -4.141
V, Å³/cell: 353.0

# 7
First-principles (PBE) data for a relaxed ErFe3C3 crystal, as listed in OQMD via LeMat-Bulk.

Cell and atoms, written as POSCAR:
```
ErFe3C3
1.0
3.262 0.000 0.000
-1.631 2.825 0.000
0.000 0.000 16.243
Er Fe C
2 6 6
Cartesian
0.000 0.000 0.000 Er
0.000 0.000 8.122 Er
0.000 1.883 2.234 Fe
0.000 1.883 5.888 Fe
0.000 1.883 12.183 Fe
1.631 0.942 4.061 Fe
1.631 0.942 10.356 Fe
1.631 0.942 14.010 Fe
0.000 1.883 4.061 C
0.000 1.883 9.840 C
0.000 1.883 14.525 C
1.631 0.942 1.718 C
1.631 0.942 6.404 C
1.631 0.942 12.183 C
```

Summary:
Crystal system: hexagonal
Energy, eV/atom: -8.182
V, Å³/cell: 149.6

# 8
First-principles (PBE) data for a relaxed Be2TcW crystal, as listed in OQMD via LeMat-Bulk.

Cell and atoms, written as POSCAR:
```
Be2TcW
1.0
0.000 2.924 2.924
2.924 0.000 2.924
2.924 2.924 0.000
Be Tc W
2 1 1
Cartesian
0.000 0.000 0.000 Be
1.462 1.462 1.462 Be
2.924 2.924 2.924 Tc
4.386 4.386 4.386 W
```

Summary:
Crystal system: cubic
Energy, eV/atom: -7.617
V, Å³/cell: 50.0